Entry 1:
42
Lattice="9.141 0.000 0.000 0.000 6.683 0.000 -4.011 0.000 7.708" Properties=species:S:1:pos:R:3 comment="H2PdS4O14, relaxed, DFT PBE-GGA" total_energy_ev_per_atom=-5.661 pbc="T T T"
O 4.327 1.779 6.590
O -2.438 6.605 7.335
S -1.424 1.129 6.727
O 2.330 6.600 1.998
O 1.996 1.807 7.264
O 3.134 4.877 0.444
H 3.089 1.990 3.184
O 7.220 5.386 2.293
O -2.090 1.297 5.415
S 0.581 2.213 2.873
O 0.421 1.084 3.727
Pd -2.005 0.000 3.854
H 1.083 1.351 7.038
O -0.105 0.530 6.651
O 5.215 4.639 6.147
O -1.203 5.121 4.971
O 7.568 0.079 0.373
Pd 0.000 3.342 0.000
O -0.085 2.044 1.561
H 4.046 5.332 0.670
O 1.900 2.812 2.797
H 2.041 4.693 4.524
S 1.982 5.744 0.920
O 0.325 3.425 5.852
O 4.001 1.535 3.410
O 4.708 5.599 3.981
O 6.714 4.426 0.127
O 2.799 0.083 5.710
O -0.432 3.420 3.481
O 5.235 6.154 1.057
S 6.554 5.555 0.980
S 4.549 4.470 4.834
O 3.229 3.871 4.911
S -0.023 4.281 4.774
O 1.129 5.149 4.297
O 0.802 4.904 1.117
S 5.153 2.402 2.934
O 6.333 1.562 2.736
O 4.805 3.259 1.856
O 5.562 3.263 4.227
O -1.584 2.257 7.581
S 3.147 0.939 6.788

***

Entry 2:
8
Lattice="-1.694 2.270 -2.153 -3.105 -0.920 1.473 0.848 5.708 5.351" Properties=species:S:1:pos:R:3 comment="YTmCu2B2C2, relaxed, DFT PBE-GGA" total_magnetization_mub_per_cell=0.0 total_energy_ev_per_atom=-6.627 pbc="T T T"
B -1.698 5.395 4.085
Cu -0.846 1.141 -1.071
Tm -2.110 2.620 1.483
Y 0.561 3.774 3.539
C 0.302 2.033 1.906
B 0.145 0.979 0.918
C -1.856 4.336 3.093
Cu -1.552 -0.454 0.742

***

Entry 3:
6
Lattice="3.423 0.000 0.000 -1.711 2.964 0.000 0.000 0.000 8.434" Properties=species:S:1:pos:R:3 comment="SmDy2O3, relaxed, DFT PBE-GGA" total_magnetization_mub_per_cell=0.0 total_energy_ev_per_atom=-7.593 pbc="T T T"
O 0.000 1.976 5.811
O 1.711 0.988 2.623
Dy 0.000 1.976 1.401
Dy 1.711 0.988 7.033
Sm 0.000 0.000 4.217
O 0.000 0.000 0.000

***

Entry 4:
8
Lattice="-2.508 0.813 2.622 -3.167 -5.030 -1.469 3.333 -3.330 4.220" Properties=species:S:1:pos:R:3 comment="BaPtNO, relaxed, DFT PBE-GGA" total_magnetization_mub_per_cell=0.0 total_energy_ev_per_atom=-6.115 e_above_lowest_polymorph_mev_per_atom=19 pbc="T T T"
N 1.143 -1.188 1.462
N 0.571 -4.713 2.007
Ba -0.935 -3.069 0.058
O -3.521 -3.692 0.414
Pt -3.290 -5.617 1.232
O 1.010 -4.123 4.881
Pt -0.530 -4.277 3.456
Ba -0.410 -7.691 1.993

***

Entry 5:
8
Lattice="4.752 0.000 0.000 0.000 4.752 0.000 0.000 0.000 4.436" Properties=species:S:1:pos:R:3 comment="LiDyNO, relaxed, DFT PBE-GGA" total_magnetization_mub_per_cell=2.0 total_energy_ev_per_atom=-6.479 e_above_lowest_polymorph_mev_per_atom=86 pbc="T T T"
Dy 2.376 2.376 2.218
Li 2.376 0.000 4.432
Li 0.000 2.376 0.004
N 2.376 0.000 2.221
N 0.000 2.376 2.214
O 2.376 2.376 0.000
O 0.000 0.000 0.000
Dy 0.000 0.000 2.218

***

Entry 6:
3
Lattice="2.689 -2.904 -2.508 -1.284 -4.469 -0.578 -1.449 -1.498 -4.197" Properties=species:S:1:pos:R:3 comment="LuTcBi, relaxed, DFT PBE-GGA" total_magnetization_mub_per_cell=0.0 total_energy_ev_per_atom=-6.220 e_above_lowest_polymorph_mev_per_atom=0 pbc="T T T"
Bi -0.011 -2.218 -1.821
Lu -0.033 -6.654 -5.462
Tc 0.000 0.000 0.000

***

Entry 7:
4
Lattice="2.319 1.339 3.787 -2.319 1.339 3.787 0.000 -2.678 3.787" Properties=species:S:1:pos:R:3 comment="Li2YOs, relaxed, DFT PBE-GGA" total_magnetization_mub_per_cell=0.0 total_energy_ev_per_atom=-5.143 pbc="T T T"
Li 0.000 0.000 5.681
Os 0.000 0.000 2.841
Y 0.000 0.000 0.000
Li 0.000 0.000 8.522

***

Entry 8:
4
Lattice="-2.707 -1.896 2.130 -3.564 -0.687 -1.512 -1.052 -3.663 -0.968" Properties=species:S:1:pos:R:3 comment="LiFe2Si, relaxed, DFT PBE-GGA" total_magnetization_mub_per_cell=3.0 total_energy_ev_per_atom=-6.218 pbc="T T T"
Fe -3.661 -3.123 -0.175
Si 0.000 0.000 0.000
Fe -5.492 -4.685 -0.263
Li -1.831 -1.562 -0.088

***

Entry 9:
4
Lattice="-3.565 -2.790 -1.401 -3.636 1.837 -2.420 -0.545 -1.021 -4.595" Properties=species:S:1:pos:R:3 comment="YMgTcW, relaxed, DFT PBE-GGA" total_magnetization_mub_per_cell=1.4 total_energy_ev_per_atom=-7.055 e_above_lowest_polymorph_mev_per_atom=459 pbc="T T T"
W -3.873 -0.987 -4.208
Y -1.936 -0.494 -2.104
Tc 0.000 0.000 0.000
Mg -5.809 -1.481 -6.312

***

Entry 10:
8
Lattice="4.364 0.000 0.000 0.000 4.364 0.000 0.000 0.000 8.811" Properties=species:S:1:pos:R:3 comment="GdYAsO, relaxed, DFT PBE-GGA" total_magnetization_mub_per_cell=0.0 total_energy_ev_per_atom=-7.086 e_above_lowest_polymorph_mev_per_atom=66 pbc="T T T"
O 2.182 2.182 0.000
Y 2.182 2.182 4.406
As 0.000 2.182 2.605
Gd 2.182 0.000 0.902
Y 0.000 0.000 4.406
Gd 0.000 2.182 7.909
As 2.182 0.000 6.206
O 0.000 0.000 0.000

***

Entry 11:
4
Lattice="-3.819 -2.844 0.484 -2.711 0.283 3.935 -4.408 1.848 -0.258" Properties=species:S:1:pos:R:3 comment="ZrCuSbAu, relaxed, DFT PBE-GGA" total_magnetization_mub_per_cell=0.0 total_energy_ev_per_atom=-5.066 e_above_lowest_polymorph_mev_per_atom=0 pbc="T T T"
Zr -2.735 -0.179 1.040
Sb 0.000 0.000 0.000
Cu -8.204 -0.536 3.121
Au -5.469 -0.357 2.080

***

Entry 12:
20
Lattice="9.862 0.000 0.000 -4.931 8.541 0.000 0.000 0.000 6.233" Properties=species:S:1:pos:R:3 comment="Nd7Co3, relaxed, DFT PBE-GGA" total_magnetization_mub_per_cell=0.0 e_form_ev_per_fu=-0.55 total_energy_ev_per_atom=-5.521 pbc="T T T"
Co 2.161 6.942 4.982
Nd 4.931 2.847 3.253
Nd -3.068 7.465 1.531
Nd 1.883 4.607 3.476
Nd 6.815 3.934 0.360
Nd 4.931 0.672 0.360
Co 0.000 3.199 4.982
Nd -1.883 4.607 3.476
Nd 1.864 1.076 4.647
Nd 0.000 2.152 1.531
Co 7.092 1.599 1.866
Nd 0.000 7.869 3.476
Nd 3.068 7.465 1.531
Co 2.770 1.599 1.866
Nd 7.999 1.076 4.647
Nd 3.048 3.934 0.360
Nd 0.000 5.694 0.136
Co 4.931 5.342 1.866
Co -2.161 6.942 4.982
Nd 4.931 6.389 4.647

***

Entry 13:
4
Lattice="-0.517 3.711 -0.149 -4.518 -0.507 3.039 2.179 0.437 3.311" Properties=species:S:1:pos:R:3 comment="CuTe, relaxed, DFT PBE-GGA" total_energy_ev_per_atom=-3.402 pbc="T T T"
Cu 1.348 2.178 2.368
Cu -1.687 -0.139 2.388
Te -0.860 1.934 3.964
Te 0.521 0.104 0.792

***

Entry 14:
8
Lattice="3.135 0.000 0.000 -1.567 2.715 0.000 0.000 0.000 13.834" Properties=species:S:1:pos:R:3 comment="Nb4CdCoC2, relaxed, DFT PBE-GGA" total_magnetization_mub_per_cell=0.6 total_energy_ev_per_atom=-8.593 pbc="T T T"
Nb 1.567 0.905 4.423
Nb 0.000 1.810 1.953
Nb 1.567 0.905 9.410
Co 1.567 0.905 0.000
Cd 0.000 1.810 6.917
Nb 0.000 1.810 11.880
C 0.000 0.000 3.217
C 0.000 0.000 10.617

***

Entry 15:
3
Lattice="0.000 3.873 3.873 3.873 0.000 3.873 3.873 3.873 0.000" Properties=species:S:1:pos:R:3 comment="TbPrHo, relaxed, DFT PBE-GGA" total_magnetization_mub_per_cell=0.0 e_form_ev_per_fu=2.11 total_energy_ev_per_atom=-3.955 e_above_lowest_polymorph_mev_per_atom=0 pbc="T T T"
Ho 0.000 0.000 0.000
Tb 1.936 1.936 1.936
Pr 5.809 5.809 5.809

***

Entry 16:
4
Lattice="0.000 3.155 3.155 3.155 0.000 3.155 3.155 3.155 0.000" Properties=species:S:1:pos:R:3 comment="TlFeTcOs, relaxed, DFT PBE-GGA" total_magnetization_mub_per_cell=2.7 total_energy_ev_per_atom=-7.326 e_above_lowest_polymorph_mev_per_atom=0 pbc="T T T"
Os 3.156 3.156 3.156
Tc 1.578 1.578 1.578
Tl 0.000 0.000 0.000
Fe 4.733 4.733 4.733

***

Entry 17:
12
Lattice="2.882 -8.302 -2.767 -4.616 3.048 7.367 -2.984 -1.592 -8.570" Properties=species:S:1:pos:R:3 comment="K3GdP2, relaxed, DFT PBE-GGA" total_magnetization_mub_per_cell=0.0 total_energy_ev_per_atom=-3.776 pbc="T T T"
P -3.239 -6.154 -2.623
K -2.413 -4.270 -0.159
K -4.234 -0.585 0.549
K -2.305 -2.576 -3.810
K 1.376 -6.074 -0.791
P -1.479 -0.691 -1.347
P -2.392 -5.473 -7.152
P -2.326 -1.373 3.182
Gd -0.434 -1.313 1.150
K -6.094 -0.772 -3.179
K -0.484 -6.260 -4.518
Gd -1.301 -3.940 3.450

***

Entry 18:
24
Lattice="12.790 0.000 0.000 0.000 4.756 0.000 0.000 0.000 13.572" Properties=species:S:1:pos:R:3 comment="LaTlCdTe3, relaxed, DFT PBE-GGA" total_magnetization_mub_per_cell=0.0 total_energy_ev_per_atom=-3.809 e_above_lowest_polymorph_mev_per_atom=22 pbc="T T T"
Te 5.192 2.378 12.759
Tl 2.293 0.000 13.445
Tl 8.688 0.000 6.914
Tl 4.102 2.378 6.658
Tl 10.497 2.378 0.128
Cd 9.555 2.378 9.570
Cd 9.630 0.000 2.784
Te 12.346 0.000 2.013
Te 11.587 2.378 7.600
Te 9.991 0.000 11.126
Cd 3.160 2.378 10.788
Te 2.799 2.378 2.447
Te 7.598 0.000 0.814
La 12.543 2.378 4.273
Te 3.596 0.000 9.233
La 6.642 0.000 11.059
Te 1.203 0.000 5.972
Te 0.444 2.378 11.559
La 0.247 0.000 9.299
Te 9.194 2.378 4.340
Te 5.951 0.000 4.773
La 6.148 2.378 2.513
Cd 3.235 0.000 4.002
Te 6.839 2.378 8.799

***

Entry 19:
18
Lattice="-0.792 -1.460 9.102 -1.096 -7.022 -5.924 6.460 -1.306 0.353" Properties=species:S:1:pos:R:3 comment="Ho5In4, relaxed, DFT PBE-GGA" total_magnetization_mub_per_cell=0.2 total_energy_ev_per_atom=-4.187 pbc="T T T"
In 0.000 0.000 0.000
In 4.144 -4.129 1.445
Ho 4.615 -1.404 2.912
Ho 1.066 -2.794 1.013
In 3.230 -0.653 0.177
In 4.156 -5.394 -3.460
Ho 4.527 -3.022 -1.458
In 1.208 -2.934 -2.111
In 0.428 -5.659 2.086
Ho -0.995 -5.168 -0.915
Ho 3.506 -6.994 2.518
In 4.347 -1.897 5.987
Ho 2.337 -3.967 4.270
Ho 0.838 -5.306 -4.113
Ho -0.894 -3.314 4.093
Ho 2.236 -5.821 -0.739
In 1.321 -0.869 3.468
Ho 1.053 -1.362 6.543

***

Entry 20:
4
Lattice="0.000 3.100 3.100 3.100 0.000 3.100 3.100 3.100 0.000" Properties=species:S:1:pos:R:3 comment="MgBeCoSb, relaxed, DFT PBE-GGA" total_magnetization_mub_per_cell=0.0 total_energy_ev_per_atom=-3.862 e_above_lowest_polymorph_mev_per_atom=0 pbc="T T T"
Mg 4.650 4.650 4.650
Sb 1.550 1.550 1.550
Be 3.100 3.100 3.100
Co 0.000 0.000 0.000

***

Entry 21:
6
Lattice="-2.151 1.315 -2.156 -5.656 -8.428 0.502 -7.683 -4.423 4.968" Properties=species:S:1:pos:R:3 comment="SmTmPb4, relaxed, DFT PBE-GGA" total_magnetization_mub_per_cell=0.0 total_energy_ev_per_atom=-3.785 pbc="T T T"
Pb -10.089 -9.720 4.137
Sm -5.441 -5.242 2.231
Pb -3.237 -3.119 1.327
Tm -7.882 -7.593 3.232
Pb -12.254 -11.806 5.025
Pb -1.114 -1.074 0.457

***

Entry 22:
4
Lattice="0.000 3.615 3.615 3.615 0.000 3.615 3.615 3.615 0.000" Properties=species:S:1:pos:R:3 comment="Y2SbPd, relaxed, DFT PBE-GGA" total_magnetization_mub_per_cell=0.4 total_energy_ev_per_atom=-5.846 pbc="T T T"
Y 0.000 0.000 0.000
Pd 1.807 1.807 1.807
Y 5.422 5.422 5.422
Sb 3.615 3.615 3.615

***

Entry 23:
9
Lattice="-2.090 8.649 -1.933 -4.066 -4.218 6.970 2.704 1.164 2.282" Properties=species:S:1:pos:R:3 comment="Er6Lu2Te, relaxed, DFT PBE-GGA" total_magnetization_mub_per_cell=0.1 total_energy_ev_per_atom=-4.677 pbc="T T T"
Lu -1.397 4.942 2.175
Er 0.225 -0.587 3.073
Lu -2.056 0.653 5.143
Te 0.000 0.000 0.000
Er -2.376 1.710 1.944
Er 0.773 2.979 0.605
Er -2.497 -2.590 4.280
Er -3.098 3.785 4.782
Er -1.284 5.310 -1.187